(1)
LiSc2Mo, relaxed, DFT PBE-GGA; total magnetic moment = 0.00 Bohr magnetons per cell; energy of formation from the pure elements = 1.2 eV/f.u.; E = -6.044 eV/atom; calculated volume = 77.65 Å³/f.u.
1.0
2.9087 0.0000 0.0000
0.0000 4.5439 0.0000
0.0000 0.0000 5.8751
Li Mo Sc
1 1 2
Direct
0.0000 0.0000 0.5027
0.5000 0.5000 0.7752
0.0000 0.0000 0.9579
0.5000 0.5000 0.2641

***

(2)
LiSc2Mo, relaxed, DFT PBE-GGA; total magnetic moment = 0.00 Bohr magnetons per cell; energy of formation from the pure elements = 1.2 eV/f.u.; E = -6.044 eV/atom; calculated volume = 78.57 Å³/f.u.
1.0
-1.6392 1.9205 1.3935
-0.4119 -2.5355 1.3109
7.4783 1.9464 6.1147
Li Mo Sc
1 1 2
Direct
0.0000 0.0000 0.5224
0.5000 0.5000 0.7507
0.0000 0.0000 0.9712
0.5000 0.5000 0.2558

***

(3)
LiScMo, relaxed, DFT PBE-GGA; total magnetic moment = 0.00 Bohr magnetons per cell; energy of formation from the pure elements = 0.6 eV/f.u.; E = -6.161 eV/atom; calculated volume = 53.02 Å³/f.u.
1.0
-3.7245 -1.4390 -2.0721
3.5565 -2.7275 0.3846
-2.1423 -2.0497 5.2741
Li Sc Mo
2 2 2
Direct
0.6667 0.3333 0.8587
0.3333 0.6667 0.2128
0.6667 0.3333 0.4036
0.0000 0.0000 0.0235
0.3333 0.6667 0.6845
0.0000 0.0000 0.5770

***

(4)
LiScMo, relaxed, DFT PBE-GGA; total magnetic moment = 0.00 Bohr magnetons per cell; energy of formation from the pure elements = 0.6 eV/f.u.; E = -6.156 eV/atom; calculated volume = 54.55 Å³/f.u.
1.0
4.8930 0.0000 0.0000
0.0000 3.3396 0.0000
0.0000 0.0000 13.3534
Li Sc Mo
4 4 4
Direct
0.0000 0.0000 0.5954
0.0000 0.5000 0.0954
0.0000 0.0000 0.2375
0.0000 0.5000 0.7375
0.5000 0.0000 0.7577
0.5000 0.5000 0.2577
0.0000 0.0000 0.9266
0.0000 0.5000 0.4266
0.5000 0.0000 0.4434
0.5000 0.5000 0.9434
0.5000 0.0000 0.0767
0.5000 0.5000 0.5767

***

(5)
LiSc2Mo, relaxed, DFT PBE-GGA; total magnetic moment = 0.00 Bohr magnetons per cell; energy of formation from the pure elements = 1.4 eV/f.u.; E = -5.997 eV/atom; calculated volume = 77.11 Å³/f.u.
1.0
3.5818 0.0000 0.0000
0.0000 3.5818 0.0000
0.0000 0.0000 6.0100
Li Mo Sc
1 1 2
Direct
0.0000 0.0000 0.5177
0.5000 0.5000 0.7691
0.0000 0.0000 0.9523
0.5000 0.5000 0.2609

***

(6)
LiSc2Mo, relaxed, DFT PBE-GGA; total magnetic moment = 0.00 Bohr magnetons per cell; energy of formation from the pure elements = 1.2 eV/f.u.; E = -6.057 eV/atom; calculated volume = 89.14 Å³/f.u.
1.0
-9.5150 1.9999 -3.2181
-9.8062 2.9491 -0.1798
-8.6410 4.9572 -2.3768
Sc Mo Li
2 1 1
Direct
0.9010 0.9010 0.9010
0.0990 0.0990 0.0990
0.5000 0.5000 0.5000
0.0000 0.0000 0.0000